[1]
The following is a DFT calculation (PBE) of crystalline Mg2RuF at its relaxed geometry.

The structure in POSCAR format:
```
Mg2RuF
1.0
-3.086 3.086 3.350
3.086 -3.086 3.350
3.086 3.086 -3.350
Mg Ru F
4 2 2
Direct
0.046 0.625 0.921
0.375 0.296 0.421
0.704 0.125 0.079
0.875 0.954 0.579
0.250 0.750 0.500
0.500 0.500 0.000
0.000 0.000 0.000
0.750 0.250 0.500
```

Summary:
**Space-group type**: I-42d
**DFT total energy**: -34.2 eV per cell
**Energy relative to the elements, uncorrected**: -2.78 eV per formula unit
**Total moment**: 1.09 μB/f.u.

[2]
The following is a DFT calculation (PBE) of crystalline Tb2NdS4 at its relaxed geometry.

The structure in POSCAR format:
```
Tb2NdS4
1.0
12.010 0.000 0.000
0.000 3.903 0.000
0.000 0.000 14.191
Tb Nd S
8 4 16
Direct
0.066 0.250 0.112
0.093 0.250 0.595
0.407 0.750 0.095
0.434 0.750 0.612
0.566 0.250 0.388
0.593 0.250 0.905
0.907 0.750 0.405
0.934 0.750 0.888
0.249 0.750 0.833
0.251 0.250 0.333
0.749 0.750 0.667
0.751 0.250 0.167
0.039 0.750 0.718
0.094 0.250 0.921
0.132 0.750 0.460
0.202 0.750 0.186
0.298 0.250 0.686
0.368 0.250 0.960
0.406 0.750 0.421
0.461 0.250 0.218
0.539 0.750 0.782
0.594 0.250 0.579
0.632 0.750 0.040
0.702 0.750 0.314
0.798 0.250 0.814
0.868 0.250 0.540
0.906 0.750 0.079
0.961 0.250 0.282
```

Summary:
**Space-group type**: Pnma
**DFT total energy**: -179.5 eV per cell
**Energy relative to the elements, uncorrected**: -14.34 eV per formula unit
**Total moment**: 0.00 μB/f.u.